Ba2GeIrAu, relaxed, DFT PBE; uncorrected energy = -4.69 eV per atom; SG = P4/nmm (129); N(E_F) = 3.0 states/eV/f.u.; formation enthalpy at 0 K = -574 meV per atom
1.0
4.4184 0.0000 0.0000
0.0000 4.4184 0.0000
0.0000 0.0000 16.3156
Ba Ge Ir Au
4 2 2 2
direct
0.2500 0.2500 0.0917 Ba
0.2500 0.2500 0.6680 Ba
0.7500 0.7500 0.3320 Ba
0.7500 0.7500 0.9083 Ba
0.2500 0.2500 0.4232 Ge
0.7500 0.7500 0.5768 Ge
0.2500 0.7500 0.5000 Ir
0.7500 0.2500 0.5000 Ir
0.2500 0.2500 0.8785 Au
0.7500 0.7500 0.1215 Au

KBa2Ge3Au12, relaxed, DFT PBE; uncorrected energy = -3.32 eV per atom; SG = R-3m (166); N(E_F) = 10.2 states/eV/f.u.; formation enthalpy at 0 K = -94 meV per atom
1.0
4.5682 2.6375 7.5582
-4.5682 2.6375 7.5582
0.0000 -5.2749 7.5582
K Ba Ge Au
1 2 3 12
direct
0.0000 0.0000 0.0000 K
0.4050 0.4050 0.4050 Ba
0.5950 0.5950 0.5950 Ba
0.0000 0.0000 0.5000 Ge
0.0000 0.5000 0.0000 Ge
0.5000 0.0000 0.0000 Ge
0.1492 0.6753 0.6753 Au
0.1677 0.1677 0.4756 Au
0.1677 0.4756 0.1677 Au
0.3247 0.3247 0.8508 Au
0.3247 0.8508 0.3247 Au
0.4756 0.1677 0.1677 Au
0.5244 0.8323 0.8323 Au
0.6753 0.1492 0.6753 Au
0.6753 0.6753 0.1492 Au
0.8323 0.5244 0.8323 Au
0.8323 0.8323 0.5244 Au
0.8508 0.3247 0.3247 Au

Ba2LiGeAu6, relaxed, DFT PBE; uncorrected energy = -3.51 eV per atom; SG = P-1 (2); N(E_F) = 4.1 states/eV/f.u.; formation enthalpy at 0 K = -502 meV per atom
1.0
6.9235 0.0000 0.0000
-3.4348 6.0423 0.0000
-3.4548 -2.0143 6.0107
Ba Li Ge Au
2 1 1 6
direct
0.0656 0.2826 0.3474 Ba
0.9344 0.7174 0.6526 Ba
0.5000 0.0000 0.5000 Li
0.5000 0.5000 0.0000 Ge
0.0068 0.7541 0.1721 Au
0.4173 0.7551 0.1684 Au
0.4199 0.1669 0.1738 Au
0.5801 0.8331 0.8262 Au
0.5827 0.2449 0.8316 Au
0.9932 0.2459 0.8279 Au

BaLi2GeAu4, relaxed, DFT PBE; uncorrected energy = -3.38 eV per atom; SG = R-3m (166); N(E_F) = 3.3 states/eV/f.u.; formation enthalpy at 0 K = -445 meV per atom
1.0
2.3098 1.3335 9.4127
-2.3098 1.3335 9.4127
0.0000 -2.6671 9.4127
Ba Li Ge Au
1 2 1 4
direct
0.0000 0.0000 0.0000 Ba
0.2285 0.2285 0.2285 Li
0.7715 0.7715 0.7715 Li
0.5000 0.5000 0.5000 Ge
0.1291 0.1291 0.1291 Au
0.4070 0.4070 0.4070 Au
0.5930 0.5930 0.5930 Au
0.8709 0.8709 0.8709 Au

> What is the formula in the first record?

Ba2GeIrAu